(1)
# Fe5Co3 | the Alexandria database | PBEsol | optimized geometry
data_Fe5Co3
_cell_length_a 6.849
_cell_length_b 6.849
_cell_length_c 6.849
_cell_angle_alpha 33.53
_cell_angle_beta 33.53
_cell_angle_gamma 33.53
_symmetry_space_group_name_H-M 'P 1'
_symmetry_Int_Tables_number 1
_symmetry_space_group_name_Hall 'P 1'
loop_
_atom_site_label
_atom_site_type_symbol
_atom_site_fract_x
_atom_site_fract_y
_atom_site_fract_z
_atom_site_occupancy
Fe1 Fe 0.000 0.000 0.000 1
Fe2 Fe 0.124 0.124 0.124 1
Fe3 Fe 0.250 0.250 0.250 1
Fe4 Fe 0.500 0.500 0.500 1
Fe5 Fe 0.874 0.874 0.874 1
Co1 Co 0.374 0.374 0.374 1
Co2 Co 0.625 0.625 0.625 1
Co3 Co 0.751 0.751 0.751 1
# * total moment: 17.76 μB per cell
# * ρ: 8673 kg/m3
# * offset from the most stable computed form: 32 meV/atom
# * E: -8.484 eV per atom
# * space group: No. 160
# * calculated formation energy: 1.9 kJ/mol of atoms

---

(2)
# Fe5Co2 | the Alexandria database | PBEsol | optimized geometry
data_Fe5Co2
_cell_length_a 4.646
_cell_length_b 4.646
_cell_length_c 6.273
_cell_angle_alpha 97.92
_cell_angle_beta 97.92
_cell_angle_gamma 34.89
_symmetry_space_group_name_H-M 'P 1'
_symmetry_Int_Tables_number 1
_symmetry_space_group_name_Hall 'P 1'
loop_
_atom_site_label
_atom_site_type_symbol
_atom_site_fract_x
_atom_site_fract_y
_atom_site_fract_z
_atom_site_occupancy
Fe1 Fe 0.000 0.000 0.000 1
Fe2 Fe 0.143 0.143 0.427 1
Fe3 Fe 0.428 0.428 0.285 1
Fe4 Fe 0.572 0.572 0.715 1
Fe5 Fe 0.857 0.857 0.573 1
Co1 Co 0.286 0.286 0.857 1
Co2 Co 0.714 0.714 0.143 1
# * total moment: 15.89 μB per cell
# * ρ: 8604 kg/m3
# * offset from the most stable computed form: 15 meV/atom
# * E: -8.596 eV per atom
# * space group: No. 12
# * calculated formation energy: 1.6 kJ/mol of atoms

---

(3)
# Fe5Co3 | the Alexandria database | PBEsol | optimized geometry
data_Fe5Co3
_cell_length_a 2.790
_cell_length_b 2.790
_cell_length_c 11.198
_cell_angle_alpha 90.00
_cell_angle_beta 90.00
_cell_angle_gamma 90.00
_symmetry_space_group_name_H-M 'P 1'
_symmetry_Int_Tables_number 1
_symmetry_space_group_name_Hall 'P 1'
loop_
_atom_site_label
_atom_site_type_symbol
_atom_site_fract_x
_atom_site_fract_y
_atom_site_fract_z
_atom_site_occupancy
Fe1 Fe 0.000 0.000 0.000 1
Fe2 Fe 0.000 0.000 0.250 1
Fe3 Fe 0.000 0.000 0.749 1
Fe4 Fe 0.500 0.500 0.127 1
Fe5 Fe 0.500 0.500 0.379 1
Co1 Co 0.000 0.000 0.499 1
Co2 Co 0.500 0.500 0.629 1
Co3 Co 0.500 0.500 0.876 1
# * total moment: 17.49 μB per cell
# * ρ: 8690 kg/m3
# * offset from the most stable computed form: 33 meV/atom
# * E: -8.484 eV per atom
# * space group: No. 99
# * calculated formation energy: 1.9 kJ/mol of atoms

---

(4)
# Fe5Co3 | the Alexandria database | PBEsol | optimized geometry
data_Fe5Co3
_cell_length_a 2.778
_cell_length_b 2.778
_cell_length_c 11.207
_cell_angle_alpha 90.00
_cell_angle_beta 90.00
_cell_angle_gamma 90.00
_symmetry_space_group_name_H-M 'P 1'
_symmetry_Int_Tables_number 1
_symmetry_space_group_name_Hall 'P 1'
loop_
_atom_site_label
_atom_site_type_symbol
_atom_site_fract_x
_atom_site_fract_y
_atom_site_fract_z
_atom_site_occupancy
Fe1 Fe 0.000 0.000 0.000 1
Fe2 Fe 0.000 0.000 0.251 1
Fe3 Fe 0.000 0.000 0.749 1
Fe4 Fe 0.500 0.500 0.125 1
Fe5 Fe 0.500 0.500 0.875 1
Co1 Co 0.000 0.000 0.500 1
Co2 Co 0.500 0.500 0.374 1
Co3 Co 0.500 0.500 0.626 1
# * total moment: 16.83 μB per cell
# * ρ: 8756 kg/m3
# * offset from the most stable computed form: 60 meV/atom
# * E: -8.457 eV per atom
# * space group: No. 123
# * calculated formation energy: 4.5 kJ/mol of atoms

---

(5)
# FeCo7 | the Alexandria database | PBEsol | optimized geometry
data_FeCo7
_cell_length_a 2.458
_cell_length_b 3.459
_cell_length_c 9.842
_cell_angle_alpha 90.00
_cell_angle_beta 90.13
_cell_angle_gamma 90.00
_symmetry_space_group_name_H-M 'P 1'
_symmetry_Int_Tables_number 1
_symmetry_space_group_name_Hall 'P 1'
loop_
_atom_site_label
_atom_site_type_symbol
_atom_site_fract_x
_atom_site_fract_y
_atom_site_fract_z
_atom_site_occupancy
Fe1 Fe 0.000 0.000 0.000 1
Co1 Co 0.000 0.000 0.252 1
Co2 Co 0.000 0.000 0.500 1
Co3 Co 0.000 0.000 0.748 1
Co4 Co 0.500 0.500 0.129 1
Co5 Co 0.500 0.500 0.376 1
Co6 Co 0.500 0.500 0.624 1
Co7 Co 0.500 0.500 0.871 1
# * total moment: 13.68 μB per cell
# * ρ: 9291 kg/m3
# * offset from the most stable computed form: 5 meV/atom
# * E: -7.860 eV per atom
# * space group: No. 10
# * calculated formation energy: 3.0 kJ/mol of atoms

---

(6)
# Fe7Co | the Alexandria database | PBEsol | optimized geometry
data_Fe7Co
_cell_length_a 4.639
_cell_length_b 4.639
_cell_length_c 5.569
_cell_angle_alpha 107.47
_cell_angle_beta 107.47
_cell_angle_gamma 50.40
_symmetry_space_group_name_H-M 'P 1'
_symmetry_Int_Tables_number 1
_symmetry_space_group_name_Hall 'P 1'
loop_
_atom_site_label
_atom_site_type_symbol
_atom_site_fract_x
_atom_site_fract_y
_atom_site_fract_z
_atom_site_occupancy
Fe1 Fe 0.000 0.000 0.000 1
Fe2 Fe 0.249 0.249 0.375 1
Fe3 Fe 0.249 0.249 0.874 1
Fe4 Fe 0.499 0.499 0.750 1
Fe5 Fe 0.501 0.501 0.250 1
Fe6 Fe 0.751 0.751 0.126 1
Fe7 Fe 0.751 0.751 0.625 1
Co1 Co 0.000 0.000 0.500 1
# * total moment: 17.85 μB per cell
# * ρ: 8575 kg/m3
# * offset from the most stable computed form: 3 meV/atom
# * E: -8.788 eV per atom
# * space group: No. 12
# * calculated formation energy: 2.2 kJ/mol of atoms

---

(7)
# Fe2Co5 | the Alexandria database | PBEsol | optimized geometry
data_Fe2Co5
_cell_length_a 9.671
_cell_length_b 9.671
_cell_length_c 9.671
_cell_angle_alpha 163.26
_cell_angle_beta 163.26
_cell_angle_gamma 23.76
_symmetry_space_group_name_H-M 'P 1'
_symmetry_Int_Tables_number 1
_symmetry_space_group_name_Hall 'P 1'
loop_
_atom_site_label
_atom_site_type_symbol
_atom_site_fract_x
_atom_site_fract_y
_atom_site_fract_z
_atom_site_occupancy
Fe1 Fe 0.212 0.212 0.000 1
Fe2 Fe 0.788 0.788 0.000 1
Co1 Co 0.068 0.068 0.000 1
Co2 Co 0.359 0.359 0.000 1
Co3 Co 0.500 0.500 0.000 1
Co4 Co 0.641 0.641 0.000 1
Co5 Co 0.932 0.932 0.000 1
# * total moment: 13.59 μB per cell
# * ρ: 8995 kg/m3
# * offset from the most stable computed form: 23 meV/atom
# * E: -8.017 eV per atom
# * space group: No. 139
# * calculated formation energy: 6.8 kJ/mol of atoms

---

(8)
# FeCo6 | the Alexandria database | PBEsol | optimized geometry
data_FeCo6
_cell_length_a 4.589
_cell_length_b 4.589
_cell_length_c 4.602
_cell_angle_alpha 95.08
_cell_angle_beta 95.08
_cell_angle_gamma 50.46
_symmetry_space_group_name_H-M 'P 1'
_symmetry_Int_Tables_number 1
_symmetry_space_group_name_Hall 'P 1'
loop_
_atom_site_label
_atom_site_type_symbol
_atom_site_fract_x
_atom_site_fract_y
_atom_site_fract_z
_atom_site_occupancy
Fe1 Fe 0.000 0.000 0.000 1
Co1 Co 0.142 0.142 0.581 1
Co2 Co 0.280 0.280 0.149 1
Co3 Co 0.429 0.429 0.718 1
Co4 Co 0.571 0.571 0.282 1
Co5 Co 0.720 0.720 0.851 1
Co6 Co 0.858 0.858 0.419 1
# * total moment: 12.82 μB per cell
# * ρ: 9142 kg/m3
# * offset from the most stable computed form: 2 meV/atom
# * E: -7.828 eV per atom
# * space group: No. 12
# * calculated formation energy: 8.1 kJ/mol of atoms

---

(9)
# FeCo7 | the Alexandria database | PBEsol | optimized geometry
data_FeCo7
_cell_length_a 6.081
_cell_length_b 6.081
_cell_length_c 6.081
_cell_angle_alpha 141.97
_cell_angle_beta 141.97
_cell_angle_gamma 54.88
_symmetry_space_group_name_H-M 'P 1'
_symmetry_Int_Tables_number 1
_symmetry_space_group_name_Hall 'P 1'
loop_
_atom_site_label
_atom_site_type_symbol
_atom_site_fract_x
_atom_site_fract_y
_atom_site_fract_z
_atom_site_occupancy
Fe1 Fe 0.000 0.000 0.000 1
Co1 Co 0.125 0.625 0.500 1
Co2 Co 0.252 0.252 0.000 1
Co3 Co 0.375 0.875 0.500 1
Co4 Co 0.500 0.500 0.000 1
Co5 Co 0.625 0.125 0.500 1
Co6 Co 0.748 0.748 0.000 1
Co7 Co 0.875 0.375 0.500 1
# * total moment: 14.49 μB per cell
# * ρ: 9178 kg/m3
# * offset from the most stable computed form: 65 meV/atom
# * E: -7.799 eV per atom
# * space group: No. 139
# * calculated formation energy: 8.8 kJ/mol of atoms

---

(10)
# Fe7Co | the Alexandria database | PBEsol | optimized geometry
data_Fe7Co
_cell_length_a 3.952
_cell_length_b 3.952
_cell_length_c 5.575
_cell_angle_alpha 90.00
_cell_angle_beta 90.00
_cell_angle_gamma 90.00
_symmetry_space_group_name_H-M 'P 1'
_symmetry_Int_Tables_number 1
_symmetry_space_group_name_Hall 'P 1'
loop_
_atom_site_label
_atom_site_type_symbol
_atom_site_fract_x
_atom_site_fract_y
_atom_site_fract_z
_atom_site_occupancy
Fe1 Fe 0.000 0.000 0.000 1
Fe2 Fe 0.000 0.000 0.500 1
Fe3 Fe 0.000 0.500 0.249 1
Fe4 Fe 0.000 0.500 0.751 1
Fe5 Fe 0.500 0.000 0.249 1
Fe6 Fe 0.500 0.000 0.751 1
Fe7 Fe 0.500 0.500 0.500 1
Co1 Co 0.500 0.500 0.000 1
# * total moment: 17.86 μB per cell
# * ρ: 8581 kg/m3
# * offset from the most stable computed form: 2 meV/atom
# * E: -8.788 eV per atom
# * space group: No. 123
# * calculated formation energy: 2.1 kJ/mol of atoms

---

(11)
# Fe4Co3 | the Alexandria database | PBEsol | optimized geometry
data_Fe4Co3
_cell_length_a 10.011
_cell_length_b 10.011
_cell_length_c 10.011
_cell_angle_alpha 163.99
_cell_angle_beta 163.99
_cell_angle_gamma 22.72
_symmetry_space_group_name_H-M 'P 1'
_symmetry_Int_Tables_number 1
_symmetry_space_group_name_Hall 'P 1'
loop_
_atom_site_label
_atom_site_type_symbol
_atom_site_fract_x
_atom_site_fract_y
_atom_site_fract_z
_atom_site_occupancy
Fe1 Fe 0.000 0.000 0.000 1
Fe2 Fe 0.143 0.143 0.000 1
Fe3 Fe 0.288 0.288 0.000 1
Fe4 Fe 0.715 0.715 0.000 1
Co1 Co 0.431 0.431 0.000 1
Co2 Co 0.572 0.572 0.000 1
Co3 Co 0.857 0.857 0.000 1
# * total moment: 15.30 μB per cell
# * ρ: 8707 kg/m3
# * offset from the most stable computed form: 2 meV/atom
# * E: -8.417 eV per atom
# * space group: No. 107
# * calculated formation energy: 2.0 kJ/mol of atoms

---

(12)
# Fe5Co3 | the Alexandria database | PBEsol | optimized geometry
data_Fe5Co3
_cell_length_a 2.416
_cell_length_b 2.416
_cell_length_c 15.819
_cell_angle_alpha 90.00
_cell_angle_beta 90.00
_cell_angle_gamma 109.94
_symmetry_space_group_name_H-M 'P 1'
_symmetry_Int_Tables_number 1
_symmetry_space_group_name_Hall 'P 1'
loop_
_atom_site_label
_atom_site_type_symbol
_atom_site_fract_x
_atom_site_fract_y
_atom_site_fract_z
_atom_site_occupancy
Fe1 Fe 0.000 0.000 0.000 1
Fe2 Fe 0.000 0.000 0.249 1
Fe3 Fe 0.000 0.000 0.502 1
Fe4 Fe 0.500 0.500 0.376 1
Fe5 Fe 0.500 0.500 0.874 1
Co1 Co 0.000 0.000 0.750 1
Co2 Co 0.500 0.500 0.125 1
Co3 Co 0.500 0.500 0.626 1
# * total moment: 17.28 μB per cell
# * ρ: 8721 kg/m3
# * offset from the most stable computed form: 57 meV/atom
# * E: -8.459 eV per atom
# * space group: No. 35
# * calculated formation energy: 4.3 kJ/mol of atoms